Computed, not measured: SmEr5Tl3 after structural relaxation at the PBE level of DFT.

- symmetry = P6_3/mcm (193)
- ΔE_f (meV/atom) = -252.2

Cell: 6.6900 9.3351 9.3340 Å, 120.00 90.00 90.00°
Last column: nearest neighbours and their distance in Å.
Atoms (fractional coordinates):
Er (0.2500, 0.6687, 0.0000)  5 Tl 3.08-3.35
Er (0.2500, 0.3313, 0.3313)  5 Tl 3.08-3.35
Er (0.5000, 0.6667, 0.3334)  8 Er 3.34-3.54, 6 Tl 3.51
Er (0.5000, 0.3333, 0.6666)  8 Er 3.34-3.54, 6 Tl 3.51
Er (0.0000, 0.6667, 0.3334)  8 Er 3.34-3.54, 6 Tl 3.51
Er (0.7500, 0.3313, 0.0000)  5 Tl 3.08-3.35
Er (0.0000, 0.3333, 0.6666)  8 Er 3.34-3.54, 6 Tl 3.51
Er (0.7500, 0.6687, 0.6687)  5 Tl 3.08-3.35
Er (0.2500, 0.0000, 0.6687)  5 Tl 3.08-3.35
Er (0.7500, 0.0000, 0.3313)  5 Tl 3.08-3.35
Tl (0.2500, 0.6618, 0.6617)  5 Er 3.08-3.35
Tl (0.7500, 0.3382, 0.3383)  5 Er 3.08-3.35
Tl (0.2500, 0.0000, 0.3383)  5 Er 3.08-3.35
Tl (0.7500, 0.6617, 0.0000)  5 Er 3.08-3.35
Tl (0.7500, 0.0000, 0.6617)  5 Er 3.08-3.35
Tl (0.2500, 0.3383, 0.0000)  5 Er 3.08-3.35
Sm (0.5000, 0.0000, 0.0000)  2 Sm 3.34, 6 Er 3.52, 6 Tl 3.57
Sm (0.0000, 0.0000, 0.0000)  2 Sm 3.34, 6 Er 3.52, 6 Tl 3.57

---

Computed, not measured: DyTm12Ni4 after structural relaxation at the PBE level of DFT.

- symmetry = Im-3 (204)
- ΔE_f (meV/atom) = -36.5

Cell: 8.5684 8.5684 8.5684 Å, 109.47 109.47 109.47°
Last column: nearest neighbours and their distance in Å.
Atoms (fractional coordinates):
Ni (0.0000, 0.5000, 0.0000)  6 Tm 2.64
Ni (0.5000, 0.5000, 0.5000)  6 Tm 2.64
Ni (0.5000, 0.0000, 0.0000)  6 Tm 2.64
Ni (0.0000, 0.0000, 0.5000)  6 Tm 2.64
Tm (0.3119, 0.4913, 0.1794)  2 Ni 2.64
Tm (0.6881, 0.8675, 0.1794)  2 Ni 2.64
Tm (0.5087, 0.8206, 0.6881)  2 Ni 2.64
Tm (0.1794, 0.3119, 0.4913)  2 Ni 2.64
Tm (0.1794, 0.6881, 0.8675)  2 Ni 2.64
Tm (0.8206, 0.3119, 0.1325)  2 Ni 2.64
Tm (0.8206, 0.6881, 0.5087)  2 Ni 2.64
Tm (0.4913, 0.1794, 0.3119)  2 Ni 2.64
Tm (0.8675, 0.1794, 0.6881)  2 Ni 2.64
Tm (0.1325, 0.8206, 0.3119)  2 Ni 2.64
Tm (0.3119, 0.1325, 0.8206)  2 Ni 2.64
Tm (0.6881, 0.5087, 0.8206)  2 Ni 2.64
Dy (0.0000, 0.0000, 0.0000)  12 Tm 3.56

---

Computed, not measured: Tb2PuTe after structural relaxation at the PBE level of DFT.

- E_form (uncorrected) (meV per atom) = -395
- excess energy over the best structure of this formula in the dataset (meV per atom) = 74
- symmetry = P4/mmm (123)

Cell: 4.5620 4.8670 4.8670 Å, 90.00 90.00 90.00°
Last column: nearest neighbours and their distance in Å.
Atoms (fractional coordinates):
Pu (0.5000, 0.5000, 0.5000)  8 Tb 3.34, 4 Te 3.44
Tb (0.0000, 0.0000, 0.5000)  4 Pu 3.34, 4 Te 3.34, 4 Tb 3.44
Tb (0.0000, 0.5000, 0.0000)  4 Pu 3.34, 4 Te 3.34, 4 Tb 3.44
Te (0.5000, 0.0000, 0.0000)  8 Tb 3.34, 4 Pu 3.44

---

Computed, not measured: DyPuUO6 after structural relaxation at the PBE level of DFT.

- E_form (uncorrected) (meV per atom) = -3194
- symmetry = P-31c (163)

Cell: 5.8001 5.8001 9.3925 Å, 90.00 90.00 120.00°
Last column: nearest neighbours and their distance in Å.
Atoms (fractional coordinates):
O (0.3315, 0.9796, 0.6329)  1 U 2.13, 1 Dy 2.28, 1 Pu 2.34
O (0.6685, 0.0204, 0.3671)  1 U 2.13, 1 Dy 2.28, 1 Pu 2.34
O (0.9796, 0.3315, 0.1329)  1 U 2.13, 1 Dy 2.28, 1 Pu 2.34
O (0.6481, 0.6685, 0.6329)  1 U 2.13, 1 Dy 2.28, 1 Pu 2.34
O (0.3519, 0.3315, 0.3671)  1 U 2.13, 1 Dy 2.28, 1 Pu 2.34
O (0.3315, 0.3519, 0.8671)  1 U 2.13, 1 Dy 2.28, 1 Pu 2.34
O (0.0204, 0.3519, 0.6329)  1 U 2.13, 1 Dy 2.28, 1 Pu 2.34
O (0.9796, 0.6481, 0.3671)  1 U 2.13, 1 Dy 2.28, 1 Pu 2.34
O (0.3519, 0.0204, 0.1329)  1 U 2.13, 1 Dy 2.28, 1 Pu 2.34
O (0.6685, 0.6481, 0.1329)  1 U 2.13, 1 Dy 2.28, 1 Pu 2.34
O (0.0204, 0.6685, 0.8671)  1 U 2.13, 1 Dy 2.28, 1 Pu 2.34
O (0.6481, 0.9796, 0.8671)  1 U 2.13, 1 Dy 2.28, 1 Pu 2.34
Dy (0.6667, 0.3333, 0.7500)  6 O 2.28
Dy (0.3333, 0.6667, 0.2500)  6 O 2.28
Pu (0.0000, 0.0000, 0.5000)  6 O 2.34
Pu (0.0000, 0.0000, 0.0000)  6 O 2.34
U (0.3333, 0.6667, 0.7500)  6 O 2.13
U (0.6667, 0.3333, 0.2500)  6 O 2.13

---

Computed, not measured: Ac4Mg3Au after structural relaxation at the PBE level of DFT.

- symmetry = P4/mmm (123)
- ΔE_f (meV/atom) = -248.6

Cell: 4.0641 4.0641 16.1833 Å, 90.00 90.00 90.00°
Last column: nearest neighbours and their distance in Å.
Atoms (fractional coordinates):
Ac (0.0000, 0.0000, 0.1142)  4 Au 3.42, 4 Mg 3.59, 1 Ac 3.70
Ac (0.0000, 0.0000, 0.6292)  8 Mg 3.50-3.55
Ac (0.0000, 0.0000, 0.8858)  4 Au 3.42, 4 Mg 3.59, 1 Ac 3.70
Ac (0.0000, 0.0000, 0.3708)  8 Mg 3.50-3.55
Mg (0.5000, 0.5000, 0.7531)  8 Ac 3.50-3.59
Mg (0.5000, 0.5000, 0.5000)  8 Ac 3.55
Mg (0.5000, 0.5000, 0.2469)  8 Ac 3.50-3.59
Au (0.5000, 0.5000, 0.0000)  8 Ac 3.42

---

Computed, not measured: TmGa4CoPt2 after structural relaxation at the PBE level of DFT.

- symmetry = R-3m (166)
- ΔE_f (meV/atom) = -589.7

Cell: 4.2419 4.2419 8.7531 Å, 75.98 75.98 60.00°
Last column: nearest neighbours and their distance in Å.
Atoms (fractional coordinates):
Ga (0.1349, 0.1349, 0.5954)  3 Co 2.58, 4 Pt 2.66-2.67
Ga (0.8651, 0.8651, 0.4046)  3 Co 2.58, 4 Pt 2.66-2.67
Ga (0.3979, 0.3979, 0.8064)  3 Pt 2.55, 1 Co 2.58
Ga (0.6021, 0.6021, 0.1936)  3 Pt 2.55, 1 Co 2.58
Co (0.5000, 0.5000, 0.5000)  8 Ga 2.58
Tm (0.0000, 0.0000, 0.0000)  6 Ga 2.94
Pt (0.7595, 0.7595, 0.7215)  7 Ga 2.55-2.67
Pt (0.2405, 0.2405, 0.2785)  7 Ga 2.55-2.67

---

Calculated uncorrected energy, -4.100, -4.824, -7.078, -9.858, -3.310, -5.061 eV/atom (same order as the records).